VASP calculation (PBE) on crystalline Y6P2Se3Cl at its relaxed geometry.

Structure (CIF):
```
data_Y6P2Se3Cl
_chemical_formula_sum 'Y12 P4 Se6 Cl2'
_space_group_name_H-M_alt 'C 1 2/m 1'
_space_group_IT_number 12
_cell_length_a 17.6654
_cell_length_b 4.0416
_cell_length_c 8.1502
_cell_angle_alpha 90.00
_cell_angle_beta 102.89
_cell_angle_gamma 90.00
loop_
_space_group_symop_operation_xyz
'x,y,z'
'-x,-y,-z'
'-x,y,-z'
'x,-y,z'
'x+1/2,y+1/2,z'
'-x+1/2,-y+1/2,-z'
'-x+1/2,y+1/2,-z'
'x+1/2,-y+1/2,z'
loop_
_atom_site_label
_atom_site_fract_x
_atom_site_fract_y
_atom_site_fract_z
Y1 0.0100 0.0000 0.2702
Y2 0.1721 0.5000 0.5719
Y3 0.1758 0.5000 0.1104
P1 0.1674 0.0000 0.3340
Se1 0.0000 0.5000 0.5000
Se2 0.1592 0.0000 0.8371
Cl1 0.0000 0.5000 0.0000
```

## Properties
- ΔE_f (raw) (eV per atom) = -1.696